# Nd4DyHo2Tm2 | Alexandria via LeMat-Bulk | PBE | optimized geometry
data_Nd4DyHo2Tm2
_space_group_name_H-M_alt 'C 1 2/m 1'
_space_group_IT_number 12
_cell_length_a 15.244
_cell_length_b 5.067
_cell_length_c 8.019
_cell_angle_alpha 90.00
_cell_angle_beta 108.38
_cell_angle_gamma 90.00
loop_
_space_group_symop_operation_xyz
'x,y,z'
'-x,-y,-z'
'-x,y,-z'
'x,-y,z'
'x+1/2,y+1/2,z'
'-x+1/2,-y+1/2,-z'
'-x+1/2,y+1/2,-z'
'x+1/2,-y+1/2,z'
loop_
_atom_site_label
_atom_site_type_symbol
_atom_site_fract_x
_atom_site_fract_y
_atom_site_fract_z
Nd1 Nd 0.054 0.000 0.330
Nd2 Nd 0.223 0.500 0.331
Dy1 Dy 0.000 0.500 0.000
Ho1 Ho 0.112 0.500 0.670
Tm1 Tm 0.168 0.000 0.000
# Formation energy (eV/atom): 0.023
# D(E_F) (states/eV/atom): 1.4787